No. 1
! Fe6IrRh2 PBE optimized geometry; values from VASP
! ΔE_f in eV per atom: 0.3799
! Final energy in Ha/atom: -0.2896
! D(E_F) in states/eV per cell: 12.0
! Crystal system: orthorhombic
&SYSTEM
  ibrav = 0, nat = 9, ntyp = 3
/
ATOMIC_SPECIES
Fe 55.84 Fe.upf
Ir 192.22 Ir.upf
Rh 102.91 Rh.upf
ATOMIC_POSITIONS angstrom
Fe 2.106 -1.220 3.678
Fe 0.000 1.159 0.000
Fe 0.000 1.195 2.389
Fe 2.106 1.220 3.678
Fe 0.000 3.671 0.000
Fe 0.000 3.635 2.389
Ir 0.000 0.000 6.067
Rh 2.106 0.000 1.315
Rh 0.000 2.415 4.752
CELL_PARAMETERS angstrom
-2.106 2.415 6.067
2.106 -2.415 6.067
2.106 2.415 -6.067

No. 2
! FeIrRuRh PBE optimized geometry; values from VASP
! ΔE_f in eV per atom: 0.3113
! Final energy in Ha/atom: -0.3005
! D(E_F) in states/eV per cell: 8.0
! Crystal system: cubic
&SYSTEM
  ibrav = 0, nat = 4, ntyp = 4
/
ATOMIC_SPECIES
Fe 55.84 Fe.upf
Ir 192.22 Ir.upf
Ru 101.07 Ru.upf
Rh 102.91 Rh.upf
ATOMIC_POSITIONS angstrom
Fe 0.000 0.000 0.000
Ir 3.047 3.047 3.047
Ru 1.524 1.524 1.524
Rh 4.571 4.571 4.571
CELL_PARAMETERS angstrom
0.000 3.047 3.047
3.047 0.000 3.047
3.047 3.047 0.000